Below is a relaxed Rb6NiF12 crystal, with properties calculated at the PBE with a Hubbard U level.

Summary:
**Crystal system**: trigonal
**N(E_F)**: 25.5 states/eV per cell
**VASP energy**: -213.971 eV for the cell shown

Cell lengths 11.5032, 11.5032, 10.9602 Å; angles 90.00, 90.00, 120.00 degrees
Space group R-3 (No. 148, hexagonal axes)
Asymmetric unit:
Rb1 0.0707 0.5874 0.3250 x18
Ni1 0.0000 0.0000 0.0000 x3
F1 0.0402 0.8951 0.9059 x18
F2 0.0746 0.5888 0.0690 x18